1 | # GGA-PBE AlSnSb2, relaxed
# Spin magnetization: 0.00 μB per cell
data_AlSnSb2
_symmetry_space_group_name_H-M 'I -4 2 d'
_symmetry_Int_Tables_number 122
_symmetry_space_group_name_Hall 'I -4 2bw'
_cell_length_a 6.594
_cell_length_b 6.594
_cell_length_c 12.879
_cell_angle_alpha 90.00
_cell_angle_beta 90.00
_cell_angle_gamma 90.00
loop_
_atom_site_label
_atom_site_type_symbol
_atom_site_fract_x
_atom_site_fract_y
_atom_site_fract_z
Al1 Al 0.000 0.000 0.000
Sn1 Sn 0.000 0.000 0.500
Sb1 Sb 0.215 0.250 0.125

=====

2 | # GGA-PBE AlSnSb2, relaxed
# Spin magnetization: 0.00 μB per cell
data_AlSnSb2
_symmetry_space_group_name_H-M 'F m -3 m'
_symmetry_Int_Tables_number 225
_symmetry_space_group_name_Hall '-F 4 2 3'
_cell_length_a 7.410
_cell_length_b 7.410
_cell_length_c 7.410
_cell_angle_alpha 90.00
_cell_angle_beta 90.00
_cell_angle_gamma 90.00
loop_
_atom_site_label
_atom_site_type_symbol
_atom_site_fract_x
_atom_site_fract_y
_atom_site_fract_z
Al1 Al 0.000 0.000 0.000
Sn1 Sn 0.000 0.000 0.500
Sb1 Sb 0.250 0.250 0.250

=====

3 | # GGA-PBE AlSnSb2, relaxed
# Spin magnetization: 0.00 μB per cell
data_AlSnSb2
_symmetry_space_group_name_H-M 'R -3 m'
_symmetry_Int_Tables_number 166
_symmetry_space_group_name_Hall '-R 3 2"'
_cell_length_a 3.5675
_cell_length_b 3.5675
_cell_length_c 30.4856
_cell_angle_alpha 90.00
_cell_angle_beta 90.00
_cell_angle_gamma 120.00
loop_
_atom_site_label
_atom_site_type_symbol
_atom_site_fract_x
_atom_site_fract_y
_atom_site_fract_z
Al1 Al 0.0000 0.0000 0.0000
Sn1 Sn 0.0000 0.0000 0.5000
Sb1 Sb 0.0000 0.0000 0.3963

=====

4 | # GGA-PBE AlSnSb2, relaxed
# Spin magnetization: 0.00 μB per cell
data_AlSnSb2
_symmetry_space_group_name_H-M 'R 3 m'
_symmetry_Int_Tables_number 160
_symmetry_space_group_name_Hall 'R 3 -2"'
_cell_length_a 4.0659
_cell_length_b 4.0659
_cell_length_c 22.4386
_cell_angle_alpha 90.00
_cell_angle_beta 90.00
_cell_angle_gamma 120.00
loop_
_atom_site_label
_atom_site_type_symbol
_atom_site_fract_x
_atom_site_fract_y
_atom_site_fract_z
Al1 Al 0.0000 0.0000 0.0000
Sn1 Sn 0.0000 0.0000 0.8334
Sb1 Sb 0.0000 0.0000 0.4049
Sb2 Sb 0.0000 0.0000 0.5930

=====

Stability, lowest: 2